# MoIO2F (SCAN, single point on PBEsol structure)
# Magnetic moment: 4.74 μB/cell
# DOS(E_F): 0.568 states/eV per atom
# Calculated density: 5.20 g/cm³
# ΔE_f (raw): 319 meV per atom
# E: -86.03 eV for the cell shown
data_MoIO2F
_chemical_formula_sum 'Mo1 I1 O2 F1'
_cell_length_a 3.997
_cell_length_b 3.997
_cell_length_c 5.475
_cell_angle_alpha 90.00
_cell_angle_beta 90.00
_cell_angle_gamma 90.00
_space_group_name_H-M_alt 'P 4/m m m'
_space_group_IT_number 123
_space_group_name_Hall '-P 4 2'
loop_
_atom_site_label
_atom_site_type_symbol
_atom_site_fract_x
_atom_site_fract_y
_atom_site_fract_z
_atom_site_occupancy
Mo1 Mo 0.000 0.000 0.000 1
I1 I 0.500 0.500 0.500 1
O1 O 0.000 0.500 0.500 1
F1 F 0.500 0.500 0.000 1

# Sb2MoIF (SCAN, single point on PBEsol structure)
# Magnetic moment: 0.00 μB/cell
# DOS(E_F): 0.871 states/eV per atom
# Calculated density: 5.77 g/cm³
# ΔE_f (raw): 206 meV per atom
# E: -148.66 eV for the cell shown
data_Sb2MoIF
_chemical_formula_sum 'Sb2 Mo1 I1 F1'
_cell_length_a 5.122
_cell_length_b 5.122
_cell_length_c 5.320
_cell_angle_alpha 90.00
_cell_angle_beta 90.00
_cell_angle_gamma 90.00
_space_group_name_H-M_alt 'P 4/m m m'
_space_group_IT_number 123
_space_group_name_Hall '-P 4 2'
loop_
_atom_site_label
_atom_site_type_symbol
_atom_site_fract_x
_atom_site_fract_y
_atom_site_fract_z
_atom_site_occupancy
Sb1 Sb 0.000 0.500 0.000 1
Mo1 Mo 0.000 0.000 0.000 1
I1 I 0.000 0.000 0.500 1
F1 F 0.500 0.500 0.500 1

# SnMoIF2 (SCAN, single point on PBEsol structure)
# Magnetic moment: 3.91 μB/cell
# DOS(E_F): 0.374 states/eV per atom
# Calculated density: 5.32 g/cm³
# ΔE_f (raw): 231 meV per atom
# E: -113.47 eV for the cell shown
data_SnMoIF2
_chemical_formula_sum 'Sn1 Mo1 I1 F2'
_cell_length_a 4.327
_cell_length_b 4.327
_cell_length_c 6.331
_cell_angle_alpha 90.00
_cell_angle_beta 90.00
_cell_angle_gamma 90.00
_space_group_name_H-M_alt 'P 4/m m m'
_space_group_IT_number 123
_space_group_name_Hall '-P 4 2'
loop_
_atom_site_label
_atom_site_type_symbol
_atom_site_fract_x
_atom_site_fract_y
_atom_site_fract_z
_atom_site_occupancy
Sn1 Sn 0.000 0.000 0.000 1
Mo1 Mo 0.500 0.500 0.000 1
I1 I 0.000 0.000 0.500 1
F1 F 0.000 0.500 0.500 1